Entry from Alexandria via LeMat-Bulk: a relaxed MnS3Br crystal (PBE-GGA).

- Raw total energy: -3.5901 eV/atom
- Raw formation energy: 1055 meV per atom
- Distance to the lowest polymorph of the same formula: 651.4 meV per atom
- Total moment: 0.9627 μB per atom

a = 4.826 Å, b = 4.826 Å, c = 4.826 Å
α = 90.00°, β = 90.00°, γ = 90.00°
Positions (direct):
1 Br 0.000 0.000 0.000
2 S 0.500 0.000 0.000
3 S 0.000 0.000 0.500
4 S 0.000 0.500 0.000
5 Mn 0.500 0.500 0.500



Entry from Alexandria via LeMat-Bulk: a relaxed Ho3ZrPd12 crystal (PBE-GGA).

- Raw total energy: -6.1693 eV/atom
- Total moment: 0.0000 μB per atom
- Formation energy: -0.882 eV per atom

a = 4.094 Å, b = 4.094 Å, c = 16.360 Å
α = 90.00°, β = 90.00°, γ = 90.00°
Positions (direct):
1 Zr 0.000 0.000 0.000
2 Pd 0.000 0.500 0.880
3 Pd 0.500 0.500 0.246
4 Pd 0.500 0.500 0.000
5 Pd 0.500 0.000 0.373
6 Pd 0.000 0.500 0.373
7 Pd 0.000 0.500 0.627
8 Pd 0.500 0.000 0.880
9 Pd 0.500 0.000 0.627
10 Pd 0.000 0.500 0.120
11 Pd 0.500 0.500 0.754
12 Pd 0.500 0.500 0.500
13 Pd 0.500 0.000 0.120
14 Ho 0.000 0.000 0.500
15 Ho 0.000 0.000 0.248
16 Ho 0.000 0.000 0.752



Entry from Alexandria via LeMat-Bulk: a relaxed ScCu2N crystal (PBE-GGA).

- Raw total energy: -5.3327 eV/atom
- Raw formation energy: 380 meV per atom
- Total moment: 0.0000 μB per atom

a = 4.420 Å, b = 4.420 Å, c = 6.962 Å
α = 71.49°, β = 71.49°, γ = 90.00°
Positions (direct):
1 N 0.500 0.500 0.000
2 N 0.250 0.750 0.500
3 Sc 0.000 0.000 0.000
4 Sc 0.750 0.250 0.500
5 Cu 0.375 0.667 0.750
6 Cu 0.417 0.625 0.250
7 Cu 0.333 0.125 0.250
8 Cu 0.875 0.583 0.750



Entry from Alexandria via LeMat-Bulk: a relaxed TbTmZr2 crystal (PBE-GGA).

- Raw total energy: -6.4458 eV/atom
- Distance to the lowest polymorph of the same formula: 29.8 meV per atom
- Total moment: 0.0000 μB per atom
- Formation energy: 0.104 eV per atom

a = 3.356 Å, b = 3.356 Å, c = 10.999 Å
α = 81.22°, β = 81.22°, γ = 60.05°
Positions (direct):
1 Tm 0.667 0.667 0.000
2 Zr 0.250 0.250 0.249
3 Zr 0.082 0.082 0.752
4 Tb 0.500 0.500 0.500



Entry from Alexandria via LeMat-Bulk: a relaxed Ba6TlN2 crystal (PBE-GGA).

- Raw total energy: -3.6746 eV/atom
- Raw formation energy: -280 meV per atom
- Total moment: 0.0297 μB per atom

a = 5.666 Å, b = 7.603 Å, c = 10.355 Å
α = 104.79°, β = 90.00°, γ = 111.88°
Positions (direct):
1 Ba 0.952 0.904 0.810
2 Ba 0.710 0.420 0.077
3 Ba 0.048 0.096 0.190
4 Ba 0.290 0.580 0.923
5 Ba 0.339 0.678 0.371
6 Ba 0.661 0.322 0.629
7 Tl 0.000 0.000 0.500
8 N 0.214 0.427 0.135
9 N 0.786 0.573 0.865



Entry from Alexandria via LeMat-Bulk: a relaxed Sn2AuS crystal (PBE-GGA).

- Raw total energy: -4.0886 eV/atom
- Raw formation energy: -236 meV per atom
- Total moment: 0.0000 μB per atom

a = 3.880 Å, b = 3.880 Å, c = 7.603 Å
α = 89.90°, β = 104.82°, γ = 120.13°
Positions (direct):
1 Sn 0.499 0.750 0.249
2 Sn 0.501 0.250 0.751
3 Au 0.000 0.500 0.500
4 S 0.000 0.000 0.000



Entry from Alexandria via LeMat-Bulk: a relaxed Ni2OsRh crystal (PBE-GGA).

- Raw total energy: -6.8429 eV/atom
- Total moment: 0.0000 μB per atom
- Formation energy: 0.693 eV per atom

a = 6.609 Å, b = 6.609 Å, c = 5.320 Å
α = 51.60°, β = 51.60°, γ = 90.00°
Positions (direct):
1 Ni 0.875 0.888 0.750
2 Ni 0.375 0.362 0.750
3 Ni 0.638 0.125 0.250
4 Ni 0.112 0.625 0.250
5 Rh 0.500 0.500 0.000
6 Rh 0.250 0.750 0.500
7 Os 0.000 0.000 0.000
8 Os 0.750 0.250 0.500



Entry from Alexandria via LeMat-Bulk: a relaxed Nb6Re5Os crystal (PBE-GGA).

- Raw total energy: -11.4202 eV/atom
- Total moment: 0.0000 μB per atom
- Formation energy: -0.263 eV per atom

a = 4.537 Å, b = 6.408 Å, c = 7.838 Å
α = 114.13°, β = 106.82°, γ = 90.00°
Positions (direct):
1 Nb 0.833 0.083 0.665
2 Nb 0.500 0.251 0.000
3 Nb 0.833 0.582 0.665
4 Nb 0.167 0.418 0.335
5 Nb 0.500 0.749 0.000
6 Nb 0.167 0.917 0.335
7 Re 0.000 0.500 0.000
8 Re 0.334 0.834 0.668
9 Re 0.667 0.667 0.333
10 Re 0.333 0.333 0.667
11 Re 0.666 0.166 0.332
12 Os 0.000 0.000 0.000



> Which value of total moment does entry 1 give?

0.9627 μB per atom



> Among the records above, which one has the highest raw total energy?

MnS3Br



> Which of these has the highest raw total energy?

MnS3Br